MnTl2F2: relaxed, GGA+U.

Summary:
Uncorrected energy (eV per atom): -4.299

a = 5.9071 Å, b = 5.9071 Å, c = 5.4540 Å
α = 57.21°, β = 57.21°, γ = 90.00°
With the nearest neighbours (Å) after each atom.
Positions (direct):
Tl 0.7500 0.2500 0.5000  4 F 2.96
Tl 0.2500 0.7500 0.5000  4 F 2.96
Mn 0.0000 0.0000 0.0000  2 F 1.94
F 0.2759 0.2759 0.4481  1 Mn 1.94
F 0.7241 0.7241 0.5519  1 Mn 1.94